1.
# Ho4Sb2SeS (GGA-PBE, relaxed)
# Fermi-level density of states   3.3 states/eV per cell
# Calculated total energy   -0.4209 Ry per atom
# Formation energy without anion corrections   -1455.7 meV per atom
data_Ho4Sb2SeS
_symmetry_space_group_name_H-M 'P 1'
_symmetry_Int_Tables_number 1
_symmetry_space_group_name_Hall 'P 1'
_cell_length_a 4.181
_cell_length_b 7.227
_cell_length_c 7.233
_cell_angle_alpha 70.44
_cell_angle_beta 90.00
_cell_angle_gamma 90.00
loop_
_atom_site_label
_atom_site_type_symbol
_atom_site_fract_x
_atom_site_fract_y
_atom_site_fract_z
Sb1 Sb 0.000 0.000 0.000
Sb2 Sb 0.500 0.000 0.500
Ho1 Ho 0.500 0.733 0.249
Ho2 Ho 0.000 0.728 0.764
Ho3 Ho 0.000 0.272 0.236
Ho4 Ho 0.500 0.267 0.751
S1 S 0.500 0.500 0.000
Se1 Se 0.000 0.500 0.500

---

2.
# Li2TeCl (GGA-PBE, relaxed)
# Fermi-level density of states   3.2 states/eV per cell
# Calculated total energy   -0.2184 Ry per atom
# Formation energy without anion corrections   -767.0 meV per atom
data_Li2TeCl
_symmetry_space_group_name_H-M 'P 1'
_symmetry_Int_Tables_number 1
_symmetry_space_group_name_Hall 'P 1'
_cell_length_a 4.977
_cell_length_b 4.977
_cell_length_c 4.977
_cell_angle_alpha 60.00
_cell_angle_beta 60.00
_cell_angle_gamma 60.00
loop_
_atom_site_label
_atom_site_type_symbol
_atom_site_fract_x
_atom_site_fract_y
_atom_site_fract_z
Li1 Li 0.250 0.250 0.250
Li2 Li 0.750 0.750 0.750
Te1 Te 0.500 0.500 0.500
Cl1 Cl 0.000 0.000 0.000

---

3.
# LaBeP (GGA-PBE, relaxed)
# Fermi-level density of states   1.7 states/eV per cell
# Calculated total energy   -0.3673 Ry per atom
# Calculated formation energy   -310 meV per atom
data_LaBeP
_symmetry_space_group_name_H-M 'P 1'
_symmetry_Int_Tables_number 1
_symmetry_space_group_name_Hall 'P 1'
_cell_length_a 5.978
_cell_length_b 5.628
_cell_length_c 3.508
_cell_angle_alpha 77.95
_cell_angle_beta 67.03
_cell_angle_gamma 35.02
loop_
_atom_site_label
_atom_site_type_symbol
_atom_site_fract_x
_atom_site_fract_y
_atom_site_fract_z
P1 P 0.626 0.626 0.374
Be1 Be 0.043 0.043 0.957
La1 La 0.331 0.331 0.669

---

4.
# TcRh2Br (GGA-PBE, relaxed)
# Fermi-level density of states   4.4 states/eV per cell
# Calculated total energy   -0.4340 Ry per atom
# Formation energy without anion corrections   780.1 meV per atom
data_TcRh2Br
_symmetry_space_group_name_H-M 'P 1'
_symmetry_Int_Tables_number 1
_symmetry_space_group_name_Hall 'P 1'
_cell_length_a 4.781
_cell_length_b 4.781
_cell_length_c 4.781
_cell_angle_alpha 130.16
_cell_angle_beta 130.16
_cell_angle_gamma 73.15
loop_
_atom_site_label
_atom_site_type_symbol
_atom_site_fract_x
_atom_site_fract_y
_atom_site_fract_z
Br1 Br 0.750 0.250 0.500
Rh1 Rh 0.500 0.500 0.000
Rh2 Rh 0.000 0.000 0.000
Tc1 Tc 0.250 0.750 0.500

---

5.
# K2Tl2Sb (GGA-PBE, relaxed)
# Fermi-level density of states   5.4 states/eV per cell
# Calculated total energy   -0.1796 Ry per atom
# Formation energy without anion corrections   -234.2 meV per atom
data_K2Tl2Sb
_symmetry_space_group_name_H-M 'P 1'
_symmetry_Int_Tables_number 1
_symmetry_space_group_name_Hall 'P 1'
_cell_length_a 7.746
_cell_length_b 7.219
_cell_length_c 8.473
_cell_angle_alpha 106.15
_cell_angle_beta 90.00
_cell_angle_gamma 122.45
loop_
_atom_site_label
_atom_site_type_symbol
_atom_site_fract_x
_atom_site_fract_y
_atom_site_fract_z
Sb1 Sb 0.219 0.000 0.250
Sb2 Sb 0.781 0.000 0.750
Tl1 Tl 0.963 0.190 0.447
Tl2 Tl 0.772 0.810 0.053
Tl3 Tl 0.037 0.810 0.553
Tl4 Tl 0.228 0.190 0.947
K1 K 0.752 0.343 0.144
K2 K 0.591 0.343 0.644
K3 K 0.248 0.657 0.856
K4 K 0.409 0.657 0.356

---

6.
# Sr2Li2Sb2H (GGA-PBE, relaxed)
# Fermi-level density of states   3.5 states/eV per cell
# Calculated total energy   -0.2505 Ry per atom
data_Sr2Li2Sb2H
_symmetry_space_group_name_H-M 'P 1'
_symmetry_Int_Tables_number 1
_symmetry_space_group_name_Hall 'P 1'
_cell_length_a 4.662
_cell_length_b 4.662
_cell_length_c 8.618
_cell_angle_alpha 105.69
_cell_angle_beta 105.69
_cell_angle_gamma 90.00
loop_
_atom_site_label
_atom_site_type_symbol
_atom_site_fract_x
_atom_site_fract_y
_atom_site_fract_z
H1 H 0.000 0.000 0.000
Sr1 Sr 0.841 0.841 0.682
Sr2 Sr 0.159 0.159 0.318
Sb1 Sb 0.619 0.619 0.238
Sb2 Sb 0.381 0.381 0.762
Li1 Li 0.500 0.000 0.000
Li2 Li 0.000 0.500 0.000

---

7.
# YScRe2 (GGA-PBE, relaxed)
# Fermi-level density of states   2.0 states/eV per cell
# Calculated total energy   -0.6649 Ry per atom
# Calculated formation energy   377 meV per atom
data_YScRe2
_symmetry_space_group_name_H-M 'P 1'
_symmetry_Int_Tables_number 1
_symmetry_space_group_name_Hall 'P 1'
_cell_length_a 10.178
_cell_length_b 10.178
_cell_length_c 10.178
_cell_angle_alpha 16.93
_cell_angle_beta 16.93
_cell_angle_gamma 16.93
loop_
_atom_site_label
_atom_site_type_symbol
_atom_site_fract_x
_atom_site_fract_y
_atom_site_fract_z
Re1 Re 0.255 0.255 0.255
Re2 Re 0.989 0.989 0.989
Sc1 Sc 0.512 0.512 0.512
Y1 Y 0.743 0.743 0.743

---

8.
# KTl2CrBr6 (GGA-PBE, relaxed)
# Calculated total energy   -0.2592 Ry per atom
# Formation energy without anion corrections   -977.4 meV per atom
data_KTl2CrBr6
_symmetry_space_group_name_H-M 'P 1'
_symmetry_Int_Tables_number 1
_symmetry_space_group_name_Hall 'P 1'
_cell_length_a 7.942
_cell_length_b 7.941
_cell_length_c 7.918
_cell_angle_alpha 59.89
_cell_angle_beta 59.90
_cell_angle_gamma 59.99
loop_
_atom_site_label
_atom_site_type_symbol
_atom_site_fract_x
_atom_site_fract_y
_atom_site_fract_z
K1 K 0.817 0.817 0.549
Br1 Br 0.194 0.018 0.252
Br2 Br 0.446 0.633 0.798
Br3 Br 0.537 0.194 0.252
Br4 Br 0.018 0.537 0.252
Br5 Br 0.123 0.446 0.798
Br6 Br 0.633 0.122 0.799
Tl1 Tl 0.540 0.540 0.381
Tl2 Tl 0.032 0.032 0.905
Cr1 Cr 0.323 0.323 0.030

---

9.
# In3Pb (GGA-PBE, relaxed)
# Fermi-level density of states   1.4 states/eV per cell
# Calculated total energy   -0.2178 Ry per atom
# Calculated formation energy   17 meV per atom
data_In3Pb
_symmetry_space_group_name_H-M 'P 1'
_symmetry_Int_Tables_number 1
_symmetry_space_group_name_Hall 'P 1'
_cell_length_a 4.360
_cell_length_b 5.058
_cell_length_c 5.160
_cell_angle_alpha 90.00
_cell_angle_beta 90.00
_cell_angle_gamma 90.00
loop_
_atom_site_label
_atom_site_type_symbol
_atom_site_fract_x
_atom_site_fract_y
_atom_site_fract_z
In1 In 0.500 0.500 0.082
In2 In 0.000 0.500 0.582
In3 In 0.000 0.000 0.084
Pb1 Pb 0.500 0.000 0.585

---

10.
# AuSBrN2 (GGA-PBE, relaxed)
# Fermi-level density of states   6.0 states/eV per cell
# Calculated total energy   -0.2426 Ry per atom
# Formation energy without anion corrections   1844.5 meV per atom
data_AuSBrN2
_symmetry_space_group_name_H-M 'P 1'
_symmetry_Int_Tables_number 1
_symmetry_space_group_name_Hall 'P 1'
_cell_length_a 3.827
_cell_length_b 3.827
_cell_length_c 8.068
_cell_angle_alpha 90.00
_cell_angle_beta 90.00
_cell_angle_gamma 90.00
loop_
_atom_site_label
_atom_site_type_symbol
_atom_site_fract_x
_atom_site_fract_y
_atom_site_fract_z
N1 N 0.000 0.500 0.000
N2 N 0.500 0.000 0.000
Br1 Br 0.500 0.500 0.500
S1 S 0.000 0.000 0.500
Au1 Au 0.000 0.000 0.000

---

11.
# Ga2SN (GGA-PBE, relaxed)
# Fermi-level density of states   3.6 states/eV per cell
# Calculated total energy   -0.3540 Ry per atom
# Formation energy without anion corrections   -190.2 meV per atom
data_Ga2SN
_symmetry_space_group_name_H-M 'P 1'
_symmetry_Int_Tables_number 1
_symmetry_space_group_name_Hall 'P 1'
_cell_length_a 5.184
_cell_length_b 5.184
_cell_length_c 6.247
_cell_angle_alpha 65.48
_cell_angle_beta 65.48
_cell_angle_gamma 90.00
loop_
_atom_site_label
_atom_site_type_symbol
_atom_site_fract_x
_atom_site_fract_y
_atom_site_fract_z
Ga1 Ga 0.197 0.625 0.250
Ga2 Ga 0.553 0.125 0.250
Ga3 Ga 0.875 0.803 0.750
Ga4 Ga 0.375 0.447 0.750
N1 N 0.500 0.500 0.000
N2 N 0.250 0.750 0.500
S1 S 0.000 0.000 0.000
S2 S 0.750 0.250 0.500

---

12.
# Y3CoSn (GGA-PBE, relaxed)
# Fermi-level density of states   9.1 states/eV per cell
# Calculated total energy   -0.4804 Ry per atom
# Calculated formation energy   -436 meV per atom
data_Y3CoSn
_symmetry_space_group_name_H-M 'P 1'
_symmetry_Int_Tables_number 1
_symmetry_space_group_name_Hall 'P 1'
_cell_length_a 4.301
_cell_length_b 8.040
_cell_length_c 8.296
_cell_angle_alpha 116.68
_cell_angle_beta 90.00
_cell_angle_gamma 90.00
loop_
_atom_site_label
_atom_site_type_symbol
_atom_site_fract_x
_atom_site_fract_y
_atom_site_fract_z
Y1 Y 0.750 0.321 0.899
Y2 Y 0.250 0.949 0.780
Y3 Y 0.750 0.656 0.418
Y4 Y 0.750 0.051 0.220
Y5 Y 0.250 0.344 0.582
Y6 Y 0.250 0.679 0.101
Co1 Co 0.750 0.042 0.553
Co2 Co 0.250 0.958 0.447
Sn1 Sn 0.750 0.672 0.812
Sn2 Sn 0.250 0.328 0.188